[1]
# Na3ScH | the Alexandria database | PBE | relaxed
# Crystal system: cubic
# Calculated total energy in eV/atom: -2.30
# Total moment in μB per formula unit: 1.3
data_Na3ScH
_chemical_formula_sum 'Na3 Sc1 H1'
_cell_length_a 4.992
_cell_length_b 4.992
_cell_length_c 4.992
_cell_angle_alpha 90.00
_cell_angle_beta 90.00
_cell_angle_gamma 90.00
_space_group_name_H-M_alt 'P 1'
_space_group_IT_number 1
loop_
_space_group_symop_operation_xyz
'x,y,z'
loop_
_atom_site_label
_atom_site_fract_x
_atom_site_fract_y
_atom_site_fract_z
Na1 0.500 0.000 0.000
Na2 0.000 0.500 0.000
Na3 0.000 0.000 0.500
Sc1 0.500 0.500 0.500
H1 0.000 0.000 0.000



[2]
# Na5Si6O18 | the Alexandria database | PBE | relaxed
# Crystal system: triclinic
# Calculated total energy in eV/atom: -6.34
# Total moment in μB per formula unit: 7.0
data_Na5Si6O18
_chemical_formula_sum 'Na5 Si6 O18'
_cell_length_a 8.287
_cell_length_b 7.785
_cell_length_c 10.274
_cell_angle_alpha 86.04
_cell_angle_beta 119.12
_cell_angle_gamma 120.92
_space_group_name_H-M_alt 'P 1'
_space_group_IT_number 1
loop_
_space_group_symop_operation_xyz
'x,y,z'
loop_
_atom_site_label
_atom_site_fract_x
_atom_site_fract_y
_atom_site_fract_z
O1 0.101 0.934 0.155
O2 0.899 0.066 0.845
O3 0.199 0.807 0.881
O4 0.062 0.601 0.284
O5 0.539 0.531 0.355
O6 0.658 0.347 0.237
O7 0.978 0.264 0.397
O8 0.260 0.990 0.438
O9 0.801 0.193 0.119
O10 0.938 0.399 0.716
O11 0.818 0.748 0.256
O12 0.022 0.736 0.603
O13 0.374 0.453 0.063
O14 0.461 0.469 0.645
O15 0.342 0.653 0.763
O16 0.740 0.010 0.562
O17 0.182 0.252 0.744
O18 0.626 0.547 0.937
Si1 0.598 0.524 0.228
Si2 0.871 0.356 0.256
Si3 0.402 0.476 0.772
Si4 0.941 0.187 0.719
Si5 0.129 0.644 0.744
Si6 0.059 0.813 0.281
Na1 0.241 0.074 0.003
Na2 0.759 0.926 0.997
Na3 0.440 0.678 0.466
Na4 0.000 0.000 0.500
Na5 0.560 0.322 0.534



[3]
# LaErCd3 | the Alexandria database | PBE | relaxed
# E_form in eV/atom: -0.321
# Crystal system: orthorhombic
# Total moment in μB per formula unit: 0.1
data_LaErCd3
_chemical_formula_sum 'La2 Er2 Cd6'
_cell_length_a 3.522
_cell_length_b 5.055
_cell_length_c 15.044
_cell_angle_alpha 90.00
_cell_angle_beta 96.72
_cell_angle_gamma 90.00
_space_group_name_H-M_alt 'P 1'
_space_group_IT_number 1
loop_
_space_group_symop_operation_xyz
'x,y,z'
loop_
_atom_site_label
_atom_site_fract_x
_atom_site_fract_y
_atom_site_fract_z
Er1 0.215 0.750 0.430
Er2 0.785 0.250 0.570
Cd1 0.625 0.750 0.250
Cd2 0.321 0.750 0.641
Cd3 0.525 0.750 0.049
Cd4 0.475 0.250 0.951
Cd5 0.679 0.250 0.359
Cd6 0.375 0.250 0.750
La1 0.924 0.750 0.848
La2 0.076 0.250 0.152



[4]
# BaTl2V2Se7 | the Alexandria database | PBE | relaxed
# Crystal system: trigonal
# Calculated total energy in eV/atom: -4.81
# Total moment in μB per formula unit: 0.0
data_BaTl2V2Se7
_chemical_formula_sum 'Ba1 Tl2 V2 Se7'
_cell_length_a 7.016
_cell_length_b 7.016
_cell_length_c 10.956
_cell_angle_alpha 71.33
_cell_angle_beta 71.33
_cell_angle_gamma 60.00
_space_group_name_H-M_alt 'P 1'
_space_group_IT_number 1
loop_
_space_group_symop_operation_xyz
'x,y,z'
loop_
_atom_site_label
_atom_site_fract_x
_atom_site_fract_y
_atom_site_fract_z
Se1 0.577 0.184 0.303
Se2 0.816 0.423 0.697
Se3 0.423 0.065 0.697
Se4 0.935 0.577 0.303
Se5 0.000 0.000 0.000
Se6 0.184 0.935 0.303
Se7 0.065 0.816 0.697
Tl1 0.300 0.300 0.099
Tl2 0.700 0.700 0.901
V1 0.923 0.923 0.230
V2 0.077 0.077 0.770
Ba1 0.500 0.500 0.500



Please write out number 1 again, unchanged.
# Na3ScH | the Alexandria database | PBE | relaxed
# Crystal system: cubic
# Calculated total energy in eV/atom: -2.30
# Total moment in μB per formula unit: 1.3
data_Na3ScH
_chemical_formula_sum 'Na3 Sc1 H1'
_cell_length_a 4.992
_cell_length_b 4.992
_cell_length_c 4.992
_cell_angle_alpha 90.00
_cell_angle_beta 90.00
_cell_angle_gamma 90.00
_space_group_name_H-M_alt 'P 1'
_space_group_IT_number 1
loop_
_space_group_symop_operation_xyz
'x,y,z'
loop_
_atom_site_label
_atom_site_fract_x
_atom_site_fract_y
_atom_site_fract_z
Na1 0.500 0.000 0.000
Na2 0.000 0.500 0.000
Na3 0.000 0.000 0.500
Sc1 0.500 0.500 0.500
H1 0.000 0.000 0.000